Here is Hf6GaSb2 after structural relaxation from Alexandria via LeMat-Bulk. Energies are from PBE.

Cell and atoms, written as CIF:
```
data_Hf6GaSb2
_symmetry_space_group_name_H-M 'P 1 21/c 1'
_symmetry_Int_Tables_number 14
_symmetry_space_group_name_Hall '-P 2ybc'
_cell_length_a 5.612
_cell_length_b 7.653
_cell_length_c 10.770
_cell_angle_alpha 90.00
_cell_angle_beta 121.31
_cell_angle_gamma 90.00
loop_
_atom_site_label
_atom_site_type_symbol
_atom_site_fract_x
_atom_site_fract_y
_atom_site_fract_z
Hf1 Hf 0.054 0.196 0.450
Hf2 Hf 0.333 0.031 0.212
Hf3 Hf 0.333 0.666 0.459
Ga1 Ga 0.500 0.000 0.500
Sb1 Sb 0.138 0.111 0.743
```

For the total magnetization, the calculation gives 0.00 Bohr magnetons per cell. As for the total DFT energy (no corrections): -147.6 eV for the cell shown.